Material: Nd5ThSb6
Method: DFT, PBE-GGA
State: optimized geometry

## Properties
calculated total energy	-5.827	eV/atom
size of the total moment	0.00	μB per atom
energy relative to the elements, uncorrected	-1.16	eV/atom

abc: 7.831 7.831 7.834
angles: 99.59 99.59 119.97
Sites, in units of the cell vectors:
Nd1 0.000 0.000 0.000
Nd2 0.166 0.834 0.500
Nd3 0.333 0.667 0.000
Nd4 0.667 0.333 0.000
Nd5 0.834 0.166 0.500
Th1 0.500 0.500 0.500
Sb1 0.085 0.417 0.251
Sb2 0.252 0.252 0.749
Sb3 0.417 0.085 0.251
Sb4 0.583 0.915 0.749
Sb5 0.748 0.748 0.251
Sb6 0.915 0.583 0.749

---

Material: LaTm2PuAs4
Method: DFT, PBE-GGA
State: optimized geometry

## Properties
calculated total energy	-7.223	eV/atom
calculated formation energy	-1373	meV per atom
size of the total moment	0.62	μB per atom

abc: 7.195 4.170 7.214
angles: 90.00 109.52 90.00
Sites, in units of the cell vectors:
La1 0.000 0.000 0.000
Tm1 0.500 0.000 0.500
Tm2 0.500 0.500 0.000
Pu1 0.000 0.500 0.500
As1 0.258 0.000 0.746
As2 0.263 0.500 0.261
As3 0.737 0.500 0.739
As4 0.742 0.000 0.254

---

Material: Ac7Tl3Sn
Method: DFT, PBE-GGA
State: optimized geometry

## Properties
calculated total energy	-3.837	eV/atom
calculated formation energy	-213	meV per atom
size of the total moment	0.00	μB per atom

abc: 8.802 8.802 6.426
angles: 111.24 111.24 91.13
Sites, in units of the cell vectors:
Ac1 0.000 0.000 0.000
Ac2 0.101 0.564 0.332
Ac3 0.320 0.320 0.820
Ac4 0.436 0.899 0.668
Ac5 0.564 0.101 0.332
Ac6 0.680 0.680 0.180
Ac7 0.899 0.436 0.668
Tl1 0.267 0.733 0.000
Tl2 0.500 0.500 0.500
Tl3 0.733 0.267 0.000
Sn1 0.000 0.000 0.500

---

Material: Rb2BiI4
Method: DFT, PBE-GGA
State: optimized geometry

## Properties
calculated total energy	-2.666	eV/atom
size of the total moment	0.14	μB per atom
energy relative to the elements, uncorrected	-0.95	eV/atom
energy above the most stable polymorph in this dataset	0	kJ/mol of formula units

abc: 7.818 7.818 7.818
angles: 111.81 111.81 104.88
Sites, in units of the cell vectors:
Rb1 0.250 0.750 0.500
Rb2 0.750 0.250 0.500
Bi1 0.000 0.000 0.000
I1 0.248 0.749 0.000
I2 0.251 0.251 0.499
I3 0.749 0.248 0.000
I4 0.752 0.752 0.501

---

Material: CrOsPb2
Method: DFT, PBE-GGA
State: optimized geometry

## Properties
calculated total energy	-6.419	eV/atom
calculated formation energy	648	meV per atom
size of the total moment	0.52	μB per atom
energy above the most stable polymorph in this dataset	95	kJ/mol of formula units

abc: 4.217 4.033 5.468
angles: 90.00 112.60 90.00
Sites, in units of the cell vectors:
Cr1 0.000 0.000 0.000
Os1 0.879 0.500 0.757
Pb1 0.290 0.000 0.579
Pb2 0.587 0.500 0.174

---

Material: AcSmTm2
Method: DFT, PBE-GGA
State: optimized geometry

## Properties
calculated total energy	-4.387	eV/atom
calculated formation energy	56	meV per atom
size of the total moment	0.00	μB per atom
energy above the most stable polymorph in this dataset	0	kJ/mol of formula units

abc: 3.734 3.734 9.842
angles: 90.00 90.00 90.00
Sites, in units of the cell vectors:
Ac1 0.000 0.000 0.000
Sm1 0.000 0.000 0.500
Tm1 0.500 0.500 0.262
Tm2 0.500 0.500 0.738